DFT (PBE with a Hubbard U) results for an optimized crystal structure of CoTePdO.

abc: 4.9505 4.9505 6.2880
angles: 90.00 90.00 90.00
Atoms (fractional coordinates):
Co 0.2500 0.2500 0.1950
Co 0.7500 0.7500 0.8050
Te 0.2500 0.7500 0.0000
Te 0.7500 0.2500 0.0000
Pd 0.2500 0.2500 0.7831
Pd 0.7500 0.7500 0.2169
O 0.2500 0.2500 0.4604
O 0.7500 0.7500 0.5396

Summary:
Calculated density ... 6.7 g/cm³
SG ... P4/nmm (129)
Energy relative to the lowest polymorph listed for this composition ... 1.94 eV/f.u.
Raw total energy ... -4.579 eV/atom